No. 1
The following is a DFT calculation (GGA-PBE) of SrGe2Pd4 after structural relaxation.

Computed properties:
The value obtained for the magnetization is 0.00 μB/f.u. Its energy above the most stable polymorph in this dataset is 63 meV/atom. The calculation puts the electronic total energy at -0.18749 Ha/atom. For the formation energy, the calculation gives -575 meV per atom. Its crystal system is orthorhombic. The space group is Pnma (62). For the calculated density, the calculation gives 8227 kg/m³.

Lattice parameters (Å, degrees): 18.6831 4.1816 6.8057 90.00 90.00 90.00
With the nearest neighbours (Å) after each atom.
Fractional positions:
Sr  0.1388  0.2500  0.0017  6 Pd 2.97-3.20, 3 Ge 3.17-3.31
Sr  0.3612  0.7500  0.5017  6 Pd 2.97-3.20, 3 Ge 3.17-3.31
Sr  0.6388  0.2500  0.4983  6 Pd 2.97-3.20, 3 Ge 3.17-3.31
Sr  0.8612  0.7500  0.9983  6 Pd 2.97-3.20, 3 Ge 3.17-3.31
Ge  0.0405  0.7500  0.2656  7 Pd 2.51-2.76
Ge  0.2015  0.2500  0.5689  6 Pd 2.48-2.60
Ge  0.2985  0.7500  0.0689  6 Pd 2.48-2.60
Ge  0.4595  0.2500  0.7656  7 Pd 2.51-2.76
Ge  0.5405  0.7500  0.2344  7 Pd 2.51-2.76
Ge  0.7015  0.2500  0.9311  6 Pd 2.48-2.60
Ge  0.7985  0.7500  0.4311  6 Pd 2.48-2.60
Ge  0.9595  0.2500  0.7344  7 Pd 2.51-2.76
Pd  0.0191  0.7500  0.8640  3 Ge 2.53-2.76
Pd  0.0643  0.2500  0.5029  4 Ge 2.51-2.68
Pd  0.1690  0.7500  0.3751  3 Ge 2.51-2.55
Pd  0.2315  0.7500  0.7540  3 Ge 2.48-2.50
Pd  0.2685  0.2500  0.2540  3 Ge 2.48-2.50
Pd  0.3310  0.2500  0.8751  3 Ge 2.51-2.55
Pd  0.4357  0.7500  0.0029  4 Ge 2.51-2.68
Pd  0.4809  0.2500  0.3640  3 Ge 2.53-2.76
Pd  0.5191  0.7500  0.6360  3 Ge 2.53-2.76
Pd  0.5643  0.2500  0.9971  4 Ge 2.51-2.68
Pd  0.6690  0.7500  0.1249  3 Ge 2.51-2.55
Pd  0.7315  0.7500  0.7460  3 Ge 2.48-2.50
Pd  0.7685  0.2500  0.2460  3 Ge 2.48-2.50
Pd  0.8310  0.2500  0.6249  3 Ge 2.51-2.55
Pd  0.9357  0.7500  0.4971  4 Ge 2.51-2.68
Pd  0.9809  0.2500  0.1360  3 Ge 2.53-2.76



No. 2
The following is a DFT calculation (GGA-PBE) of SrGePd3 after structural relaxation.

Computed properties:
The value obtained for the magnetization is 0.00 μB/f.u. Its energy above the most stable polymorph in this dataset is 1618 meV/atom. The calculation puts the electronic total energy at -0.12402 Ha/atom. For the formation energy, the calculation gives 1001 meV per atom. Its crystal system is cubic. The space group is Pm-3m (221). For the calculated density, the calculation gives 5878 kg/m³.

Lattice parameters (Å, degrees): 5.1359 5.1359 5.1359 90.00 90.00 90.00
With the nearest neighbours (Å) after each atom.
Fractional positions:
Sr  0.0000  0.0000  0.0000  6 Pd 2.57
Ge  0.5000  0.5000  0.5000  12 Pd 3.63
Pd  0.0000  0.0000  0.5000  2 Sr 2.57
Pd  0.0000  0.5000  0.0000  2 Sr 2.57
Pd  0.5000  0.0000  0.0000  2 Sr 2.57



No. 3
The following is a DFT calculation (GGA-PBE) of SrGe3Pd after structural relaxation.

Computed properties:
The value obtained for the magnetization is 0.00 μB/f.u. The calculation puts the electronic total energy at -0.15544 Ha/atom. For the formation energy, the calculation gives -84 meV per atom. Its crystal system is cubic. The space group is Pm-3m (221). For the calculated density, the calculation gives 5512 kg/m³.

Lattice parameters (Å, degrees): 4.9880 4.9880 4.9880 90.00 90.00 90.00
With the nearest neighbours (Å) after each atom.
Fractional positions:
Sr  0.0000  0.0000  0.0000  12 Ge 3.53
Ge  0.0000  0.5000  0.5000  2 Pd 2.49
Ge  0.5000  0.0000  0.5000  2 Pd 2.49
Ge  0.5000  0.5000  0.0000  2 Pd 2.49
Pd  0.5000  0.5000  0.5000  6 Ge 2.49



No. 4
The following is a DFT calculation (GGA-PBE) of SrGe3Pd after structural relaxation.

Computed properties:
The value obtained for the magnetization is 0.00 μB/f.u. The calculation puts the electronic total energy at -0.09915 Ha/atom. For the formation energy, the calculation gives 1447 meV per atom. Its crystal system is cubic. The space group is Pm-3m (221). For the calculated density, the calculation gives 4145 kg/m³.

Lattice parameters (Å, degrees): 5.4852 5.4852 5.4852 90.00 90.00 90.00
With the nearest neighbours (Å) after each atom.
Fractional positions:
Sr  0.0000  0.0000  0.0000  6 Ge 2.74
Ge  0.0000  0.0000  0.5000  2 Sr 2.74
Ge  0.0000  0.5000  0.0000  2 Sr 2.74
Ge  0.5000  0.0000  0.0000  2 Sr 2.74
Pd  0.5000  0.5000  0.5000  12 Ge 3.88



No. 5
The following is a DFT calculation (GGA-PBE) of Sr3Ge4Pd after structural relaxation.

Computed properties:
The value obtained for the magnetization is 0.00 μB/f.u. The calculation puts the electronic total energy at -0.14864 Ha/atom. For the formation energy, the calculation gives -456 meV per atom. Its crystal system is orthorhombic. The space group is Immm (71). For the calculated density, the calculation gives 4746 kg/m³.

Lattice parameters (Å, degrees): 8.8036 8.8036 8.8036 147.68 140.49 51.93
With the nearest neighbours (Å) after each atom.
Fractional positions:
Sr  0.0000  0.0000  0.0000  8 Ge 3.28
Sr  0.3075  0.8075  0.5000  6 Ge 3.26-3.29
Sr  0.6925  0.1925  0.5000  6 Ge 3.26-3.29
Ge  0.0889  0.3854  0.7035  1 Ge 2.42, 1 Pd 2.53
Ge  0.3182  0.6146  0.7035  1 Ge 2.42, 1 Pd 2.53
Ge  0.6818  0.3854  0.2965  1 Ge 2.42, 1 Pd 2.53
Ge  0.9111  0.6146  0.2965  1 Ge 2.42, 1 Pd 2.53
Pd  0.5000  0.5000  0.0000  4 Ge 2.53



No. 6
The following is a DFT calculation (GGA-PBE) of SrGe2Pd2 after structural relaxation.

Computed properties:
The value obtained for the magnetization is 0.00 μB/f.u. The calculation puts the electronic total energy at -0.17861 Ha/atom. For the formation energy, the calculation gives -600 meV per atom. Its crystal system is tetragonal. The space group is I4/mmm (139). For the calculated density, the calculation gives 7064 kg/m³.

Lattice parameters (Å, degrees): 6.0853 6.0853 6.0853 136.67 136.67 62.95
With the nearest neighbours (Å) after each atom.
Fractional positions:
Sr  0.0000  0.0000  0.0000  8 Ge 3.43, 10 Pd 3.47-3.79
Ge  0.2500  0.7500  0.5000  4 Pd 2.55
Ge  0.7500  0.2500  0.5000  4 Pd 2.55
Pd  0.3653  0.3653  0.0000  4 Ge 2.55, 1 Pd 2.80
Pd  0.6347  0.6347  0.0000  4 Ge 2.55, 1 Pd 2.80



No. 7
The following is a DFT calculation (GGA-PBE) of SrGe2Pd6 after structural relaxation.

Computed properties:
The value obtained for the magnetization is 0.00 μB/f.u. Its energy above the most stable polymorph in this dataset is 6 meV/atom. The calculation puts the electronic total energy at -0.18750 Ha/atom. For the formation energy, the calculation gives -427 meV per atom. Its crystal system is orthorhombic. The space group is Immm (71). For the calculated density, the calculation gives 8517 kg/m³.

Lattice parameters (Å, degrees): 6.8305 6.8305 6.8305 146.13 94.91 94.82
With the nearest neighbours (Å) after each atom.
Fractional positions:
Sr  0.0000  0.0000  0.0000  2 Ge 3.13, 4 Pd 3.29
Ge  0.3384  0.0000  0.3384  6 Pd 2.49-2.50
Ge  0.6616  0.0000  0.6616  6 Pd 2.49-2.50
Pd  0.1270  0.3471  0.7798  2 Ge 2.50, 2 Pd 2.74
Pd  0.2841  0.7841  0.5000  2 Ge 2.49
Pd  0.4327  0.6529  0.7798  2 Ge 2.50, 2 Pd 2.74
Pd  0.5673  0.3471  0.2202  2 Ge 2.50, 2 Pd 2.74
Pd  0.7159  0.2159  0.5000  2 Ge 2.49
Pd  0.8730  0.6529  0.2202  2 Ge 2.50, 2 Pd 2.74



No. 8
The following is a DFT calculation (GGA-PBE) of SrGe3Pd after structural relaxation.

Computed properties:
The value obtained for the magnetization is 0.00 μB/f.u. The calculation puts the electronic total energy at -0.16148 Ha/atom. For the formation energy, the calculation gives -249 meV per atom. Its crystal system is orthorhombic. The space group is Cmcm (63). For the calculated density, the calculation gives 6057 kg/m³.

Lattice parameters (Å, degrees): 8.1060 8.1060 6.1278 90.00 90.00 145.88
With the nearest neighbours (Å) after each atom.
Fractional positions:
Sr  0.0827  0.9173  0.7500  7 Ge 3.14-3.39, 2 Pd 3.49
Sr  0.9173  0.0827  0.2500  7 Ge 3.14-3.39, 2 Pd 3.49
Ge  0.1268  0.8732  0.2500  2 Pd 2.48
Ge  0.2878  0.7122  0.0294  1 Pd 2.65, 4 Ge 2.68-2.84
Ge  0.2878  0.7122  0.4706  1 Pd 2.65, 4 Ge 2.68-2.84
Ge  0.7122  0.2878  0.5294  1 Pd 2.65, 4 Ge 2.68-2.84
Ge  0.7122  0.2878  0.9706  1 Pd 2.65, 4 Ge 2.68-2.84
Ge  0.8732  0.1268  0.7500  2 Pd 2.48
Pd  0.4180  0.5820  0.7500  4 Ge 2.48-2.65
Pd  0.5820  0.4180  0.2500  4 Ge 2.48-2.65



No. 9
The following is a DFT calculation (GGA-PBE) of Sr2Ge7Pd after structural relaxation.

Computed properties:
The value obtained for the magnetization is 0.00 μB/f.u. The calculation puts the electronic total energy at -0.16138 Ha/atom. For the formation energy, the calculation gives -304 meV per atom. Its crystal system is tetragonal. The space group is P-4m2 (115). For the calculated density, the calculation gives 5794 kg/m³.

Lattice parameters (Å, degrees): 4.7039 4.7039 10.2341 90.00 90.00 90.00
With the nearest neighbours (Å) after each atom.
Fractional positions:
Sr  0.0000  0.5000  0.2416  15 Ge 3.41-3.71, 2 Pd 3.41
Sr  0.5000  0.0000  0.7584  15 Ge 3.41-3.71, 2 Pd 3.41
Ge  0.0000  0.0000  0.0000  4 Ge 2.66
Ge  0.0000  0.0000  0.5000  4 Ge 2.66
Ge  0.0000  0.5000  0.6207  5 Ge 2.64-2.66
Ge  0.0000  0.5000  0.8788  3 Ge 2.64-2.66, 2 Pd 2.66
Ge  0.5000  0.0000  0.1212  3 Ge 2.64-2.66, 2 Pd 2.66
Ge  0.5000  0.0000  0.3793  5 Ge 2.64-2.66
Ge  0.5000  0.5000  0.5000  4 Ge 2.66
Pd  0.5000  0.5000  0.0000  4 Ge 2.66



No. 10
The following is a DFT calculation (GGA-PBE) of Sr2TbGe3Pd4 after structural relaxation.

Computed properties:
The value obtained for the magnetization is 0.00 μB/f.u. The calculation puts the electronic total energy at -0.18435 Ha/atom. For the formation energy, the calculation gives -755 meV per atom. Its crystal system is tetragonal. The space group is P-4m2 (115). For the calculated density, the calculation gives 7496 kg/m³.

Lattice parameters (Å, degrees): 4.4236 4.4236 11.0682 90.00 90.00 90.00
With the nearest neighbours (Å) after each atom.
Fractional positions:
Sr  0.0000  0.5000  0.2283  8 Pd 3.36-3.37, 6 Ge 3.37-3.73, 2 Tb 3.73
Sr  0.5000  0.0000  0.7717  8 Pd 3.36-3.37, 6 Ge 3.37-3.73, 2 Tb 3.73
Tb  0.0000  0.0000  0.5000  4 Pd 2.81, 4 Ge 3.13
Ge  0.0000  0.5000  0.8845  5 Pd 2.51-2.55
Ge  0.5000  0.0000  0.1155  5 Pd 2.51-2.55
Ge  0.5000  0.5000  0.5000  4 Pd 2.81, 4 Tb 3.13
Pd  0.0000  0.0000  0.0000  4 Ge 2.55
Pd  0.0000  0.5000  0.6573  3 Ge 2.51-2.81, 2 Tb 2.81
Pd  0.5000  0.0000  0.3427  3 Ge 2.51-2.81, 2 Tb 2.81
Pd  0.5000  0.5000  0.0000  4 Ge 2.55



No. 11
The following is a DFT calculation (GGA-PBE) of Sr2GeTePd after structural relaxation.

Computed properties:
Its formation energy (no corrections) is -0.79 eV per atom. The value obtained for the magnetization is 0.00 μB/f.u. The calculation puts the electronic total energy at -0.14912 Ha/atom. Its crystal system is tetragonal. The space group is P4/mmm (123). For the calculated density, the calculation gives 4891 kg/m³.

Lattice parameters (Å, degrees): 5.9435 5.9435 4.6312 90.00 90.00 90.00
With the nearest neighbours (Å) after each atom.
Fractional positions:
Sr  0.0000  0.5000  0.0000  2 Pd 2.97
Sr  0.5000  0.0000  0.0000  2 Pd 2.97
Ge  0.0000  0.0000  0.5000  2 Pd 2.32
Te  0.5000  0.5000  0.5000  8 Sr 3.77, 4 Ge 4.20
Pd  0.0000  0.0000  0.0000  2 Ge 2.32



No. 12
The following is a DFT calculation (GGA-PBE) of Sr2TlGePd6 after structural relaxation.

Computed properties:
The value obtained for the magnetization is 0.00 μB/f.u. The calculation puts the electronic total energy at -0.17115 Ha/atom. For the formation energy, the calculation gives -507 meV per atom. Its crystal system is triclinic. The space group is P-1 (2). For the calculated density, the calculation gives 8030 kg/m³.

Lattice parameters (Å, degrees): 5.6708 6.6901 7.1525 78.07 66.68 64.99
With the nearest neighbours (Å) after each atom.
Fractional positions:
Sr  0.2478  0.2226  0.2820  5 Pd 3.17-3.29
Sr  0.7522  0.7774  0.7180  5 Pd 3.17-3.29
Tl  0.5000  0.5000  0.5000  6 Pd 2.74-2.76
Ge  0.0000  0.0000  0.0000  6 Pd 2.47-2.53
Pd  0.2442  0.2391  0.7767  1 Ge 2.47, 1 Tl 2.74, 2 Pd 2.75-2.76
Pd  0.2462  0.6002  0.9048  1 Ge 2.53, 4 Pd 2.75-2.76, 1 Tl 2.76
Pd  0.2618  0.7599  0.2220  1 Ge 2.47, 1 Tl 2.74, 2 Pd 2.75-2.76
Pd  0.7382  0.2401  0.7780  1 Ge 2.47, 1 Tl 2.74, 2 Pd 2.75-2.76
Pd  0.7538  0.3998  0.0952  1 Ge 2.53, 4 Pd 2.75-2.76, 1 Tl 2.76
Pd  0.7558  0.7609  0.2233  1 Ge 2.47, 1 Tl 2.74, 2 Pd 2.75-2.76